Below is an optimized crystal structure of SrAcTb2S4, with properties calculated at the GGA-PBE level.

Results
Calculated total energy   -0.43770 Ry per atom
Total magnetization   0.000 μB/f.u.

Lattice parameters (Å, degrees): 7.0889 4.0603 7.1582 90.00 108.92 90.00
Closest atoms and distances in Å follow each position.
Space group P2/m (No. 10)
Asymmetric unit:
Sr 0.0000 0.0000 0.0000  6 S 2.97-2.98
Ac 0.5000 0.5000 0.0000  6 S 3.00-3.01
Tb 0.0000 0.5000 0.5000  6 S 2.79-2.80
Tb 0.5000 0.0000 0.5000  6 S 2.82-2.83
S 0.2377 0.0000 0.7257  3 Tb 2.79-2.83, 1 Sr 2.97, 2 Ac 3.01
S 0.2544 0.5000 0.2721  3 Tb 2.80-2.82, 2 Sr 2.98, 1 Ac 3.00